Record 1
Here is NbTlO3 after structural relaxation from the Alexandria database. Energies are from GGA-PBE.

Values from the calculation:
The space group is No. 221. Its uncorrected formation energy is 20 kJ per mole of atoms. The total energy is -5.26 eV/atom.

Cell: 4.191 4.191 4.191 Å, 90.00 90.00 90.00°
Fractional coordinates of all 5 atoms:
Nb (0.000, 0.000, 0.000)
Tl (0.500, 0.500, 0.500)
O (0.000, 0.500, 0.500)
O (0.500, 0.000, 0.500)
O (0.500, 0.500, 0.000)

Record 2
Here is NbTlO4 after structural relaxation from the Alexandria database. Energies are from GGA-PBE.

Values from the calculation:
The space group is No. 60. Its uncorrected formation energy is -170 kJ per mole of atoms. The total energy is -7.14 eV/atom.

Cell: 5.053 5.956 10.929 Å, 90.00 90.00 90.00°
Fractional coordinates of all 24 atoms:
Nb (0.000, 0.131, 0.250)
Nb (0.000, 0.869, 0.750)
Nb (0.500, 0.369, 0.750)
Nb (0.500, 0.631, 0.250)
Tl (0.000, 0.500, 0.000)
Tl (0.000, 0.500, 0.500)
Tl (0.500, 0.000, 0.000)
Tl (0.500, 0.000, 0.500)
O (0.174, 0.206, 0.092)
O (0.174, 0.794, 0.592)
O (0.242, 0.434, 0.314)
O (0.242, 0.566, 0.814)
O (0.258, 0.066, 0.814)
O (0.258, 0.934, 0.314)
O (0.326, 0.294, 0.592)
O (0.326, 0.706, 0.092)
O (0.674, 0.294, 0.908)
O (0.674, 0.706, 0.408)
O (0.742, 0.066, 0.686)
O (0.742, 0.934, 0.186)
O (0.758, 0.434, 0.186)
O (0.758, 0.566, 0.686)
O (0.826, 0.206, 0.408)
O (0.826, 0.794, 0.908)

Record 3
Here is NbTlO3 after structural relaxation from the Alexandria database. Energies are from GGA-PBE.

Values from the calculation:
The space group is No. 99. Its uncorrected formation energy is -127 kJ per mole of atoms. The total energy is -6.78 eV/atom.

Cell: 3.333 3.333 7.035 Å, 90.00 90.00 90.00°
Fractional coordinates of all 5 atoms:
Nb (0.000, 0.000, 0.000)
Tl (0.500, 0.500, 0.521)
O (0.000, 0.500, 0.855)
O (0.500, 0.000, 0.855)
O (0.500, 0.500, 0.164)

Record 4
Here is Nb2Tl2O7 after structural relaxation from the Alexandria database. Energies are from GGA-PBE.

Values from the calculation:
For the relative energy among the computed polymorphs, the calculation gives 79 meV/atom. The space group is No. 12. Its uncorrected formation energy is -172 kJ per mole of atoms. The total energy is -7.20 eV/atom.

Cell: 6.145 6.145 5.729 Å, 96.29 96.29 110.33°
Fractional coordinates of all 11 atoms:
Nb (0.250, 0.250, 0.098)
Nb (0.750, 0.750, 0.902)
Tl (0.191, 0.809, 0.500)
Tl (0.809, 0.191, 0.500)
O (0.069, 0.069, 0.802)
O (0.108, 0.421, 0.280)
O (0.421, 0.108, 0.280)
O (0.500, 0.500, 0.000)
O (0.579, 0.892, 0.720)
O (0.892, 0.579, 0.720)
O (0.931, 0.931, 0.198)

Record 5
Here is NbTlO3 after structural relaxation from the Alexandria database. Energies are from GGA-PBE.

Values from the calculation:
The space group is No. 119. Its uncorrected formation energy is -103 kJ per mole of atoms. The total energy is -6.53 eV/atom.

Cell: 13.495 13.495 13.495 Å, 164.75 164.75 21.63°
Fractional coordinates of all 10 atoms:
Nb (0.122, 0.122, 0.000)
Nb (0.878, 0.878, 0.000)
Tl (0.500, 0.500, 0.000)
Tl (0.750, 0.250, 0.500)
O (0.085, 0.585, 0.500)
O (0.113, 0.352, 0.761)
O (0.415, 0.915, 0.500)
O (0.591, 0.352, 0.239)
O (0.648, 0.409, 0.761)
O (0.648, 0.887, 0.239)

Record 6
Here is NbTlO3 after structural relaxation from the Alexandria database. Energies are from GGA-PBE.

Values from the calculation:
The space group is No. 38. Its uncorrected formation energy is -183 kJ per mole of atoms. The total energy is -7.36 eV/atom.

Cell: 3.054 5.759 5.759 Å, 87.64 90.00 90.00°
Fractional coordinates of all 5 atoms:
Nb (0.000, 0.000, 0.000)
Tl (0.500, 0.533, 0.533)
O (0.000, 0.784, 0.784)
O (0.500, 0.211, 0.893)
O (0.500, 0.893, 0.211)